First-principles (GGA-PBEsol) data for a relaxed TcSI2O crystal, as listed in the Alexandria database.

POSCAR file:
```
TcSI2O
1.0
5.389 0.000 0.000
0.000 5.389 0.000
0.000 0.000 3.671
Tc S I O
1 1 2 1
Cartesian
0.000 0.000 0.000
2.694 2.694 1.835
0.000 2.694 0.000
2.694 0.000 0.000
0.000 0.000 1.835
```

Its space group is P4/mmm, No. 123. As for the formation energy (no corrections): 0.03 eV per atom.

=====

First-principles (GGA-PBEsol) data for a relaxed TcSIO2 crystal, as listed in the Alexandria database.

POSCAR file:
```
TcSIO2
1.0
3.699 0.000 0.000
0.000 3.699 0.000
0.000 0.000 5.760
Tc S I O
1 1 1 2
Cartesian
0.000 0.000 0.000
1.850 1.850 2.880
1.850 1.850 0.000
0.000 1.850 2.880
1.850 0.000 2.880
```

Its space group is P4/mmm, No. 123. As for the formation energy (no corrections): 0.74 eV per atom.